# TbCePmHg | the Alexandria database | GGA-PBE | optimized geometry
data_TbCePmHg
_cell_length_a 5.4550
_cell_length_b 5.4550
_cell_length_c 5.4550
_cell_angle_alpha 60.00
_cell_angle_beta 60.00
_cell_angle_gamma 60.00
_symmetry_space_group_name_H-M 'P 1'
_symmetry_Int_Tables_number 1
loop_
_symmetry_equiv_pos_as_xyz
'x,y,z'
loop_
_atom_site_label
_atom_site_fract_x
_atom_site_fract_y
_atom_site_fract_z
Tb1 0.7500 0.7500 0.7500
Hg1 0.5000 0.5000 0.5000
Ce1 0.2500 0.2500 0.2500
Pm1 0.0000 0.0000 0.0000
# E_form: -0.01 eV/atom
# Space-group type: F-43m, No. 216